A plane-wave DFT calculation with PBE was carried out for crystalline RbHo2AgBr8 at its relaxed geometry.

Cell lengths 7.2855, 7.1761, 8.6068 Å; angles 90.00, 89.92, 81.48 degrees
Closest atoms and distances in Å follow each position.
Sites, in units of the cell vectors:
Br 0.1598 0.7244 0.2182  1 Ho 2.76, 1 Ag 2.85
Ho 0.5001 0.5002 0.7589  6 Br 2.76-2.88
Br 0.8399 0.2740 0.2175  1 Ho 2.76, 1 Ag 2.84
Ag 0.0000 0.0000 0.0000  4 Br 2.84-2.85
Rb 0.0000 0.0000 0.5000  4 Br 3.23-3.24
Br 0.1601 0.7260 0.7825  1 Ho 2.76, 1 Ag 2.84
Br 0.3778 0.2785 0.9998  2 Ho 2.84
Br 0.6149 0.7097 0.4997  2 Ho 2.88
Ho 0.4999 0.4998 0.2411  6 Br 2.76-2.88
Br 0.8402 0.2756 0.7818  1 Ho 2.76, 1 Ag 2.85
Br 0.3851 0.2903 0.5003  2 Ho 2.88
Br 0.6222 0.7215 0.0002  2 Ho 2.84

Results
symmetry	P-1 (2)
density of states at the Fermi level	0.00	states/eV/cell
ΔE_f (raw)	-1551	meV/atom